## As2HRh (PBE-GGA)

Data for crystalline As2HRh at its relaxed geometry.

Lattice parameters (Å, degrees): 4.2510 4.2510 4.2510 60.00 60.00 60.00
With the nearest neighbours (Å) after each atom.
Positions (direct):
As: 0.2500 0.2500 0.2500  4 Rh 2.60, 4 H 2.60
As: 0.7500 0.7500 0.7500  4 Rh 2.60, 4 H 2.60
H: 0.0000 0.0000 0.0000  8 As 2.60
Rh: 0.5000 0.5000 0.5000  8 As 2.60

## Properties
- Relative energy among the computed polymorphs: 0 meV per atom

---

## AsH3Rh (PBE-GGA)

Data for crystalline AsH3Rh at its relaxed geometry.

Lattice parameters (Å, degrees): 3.5470 3.5470 3.5470 90.00 90.00 90.00
With the nearest neighbours (Å) after each atom.
Positions (direct):
As: 0.0000 0.0000 0.0000  12 H 2.51
H: 0.0000 0.5000 0.5000  2 Rh 1.77
H: 0.5000 0.0000 0.5000  2 Rh 1.77
H: 0.5000 0.5000 0.0000  2 Rh 1.77
Rh: 0.5000 0.5000 0.5000  6 H 1.77

## Properties
- Relative energy among the computed polymorphs: 0 meV per atom

---

| no. | final energy (eV/atom) |
| --- | --- |
| 1 | -4.810 |
| 2 | -4.055 |